# SrReS2 (PBEsol, relaxed)
data_SrReS2
_chemical_formula_sum 'Sr3 Re3 S6'
_symmetry_space_group_name_H-M 'P 1'
_symmetry_Int_Tables_number 1
_symmetry_space_group_name_Hall 'P 1'
_cell_length_a 4.3577
_cell_length_b 4.3577
_cell_length_c 22.3210
_cell_angle_alpha 90.00
_cell_angle_beta 90.00
_cell_angle_gamma 120.00
loop_
_atom_site_label
_atom_site_type_symbol
_atom_site_fract_x
_atom_site_fract_y
_atom_site_fract_z
_atom_site_occupancy
Sr1 Sr 0.0000 0.0000 0.0000 1
Sr2 Sr 0.3333 0.6667 0.6667 1
Sr3 Sr 0.6667 0.3333 0.3333 1
Re1 Re 0.0000 0.0000 0.5000 1
Re2 Re 0.3333 0.6667 0.1667 1
Re3 Re 0.6667 0.3333 0.8333 1
S1 S 0.0000 0.0000 0.3995 1
S2 S 0.0000 0.0000 0.6005 1
S3 S 0.3333 0.6667 0.0662 1
S4 S 0.3333 0.6667 0.2671 1
S5 S 0.6667 0.3333 0.7329 1
S6 S 0.6667 0.3333 0.9338 1
# formation energy (no corrections) = 0.30 eV per formula unit
# space group = R-3m (166)
# spin magnetization = 0.898 μB/atom